Record 1
Material: Li3Ac2Pd2
Method: DFT, PBE
State: optimized geometry

## Properties
Space group: C2/m
Volume in Å³ per cell: 167

POSCAR file:
```
Li3Ac2Pd2
1.0
5.532 -2.153 0.000
5.532 2.153 0.000
-3.233 0.000 6.999
Li Ac Pd
3 2 2
direct
0.000 0.000 0.000 Li
0.155 0.155 0.428 Li
0.845 0.845 0.572 Li
0.368 0.368 0.225 Ac
0.632 0.632 0.775 Ac
0.350 0.350 0.810 Pd
0.650 0.650 0.190 Pd
```

Record 2
Material: Li2Ac3Pd4
Method: DFT, PBE
State: optimized geometry

## Properties
Space group: C2/m
Volume in Å³ per cell: 217

POSCAR file:
```
Li2Ac3Pd4
1.0
5.809 -2.243 0.000
5.809 2.243 0.000
-3.326 0.000 8.336
Li Ac Pd
2 3 4
direct
0.175 0.175 0.347 Li
0.825 0.825 0.653 Li
0.136 0.136 0.698 Ac
0.500 0.500 0.000 Ac
0.864 0.864 0.302 Ac
0.212 0.212 0.068 Pd
0.420 0.420 0.593 Pd
0.580 0.580 0.407 Pd
0.788 0.788 0.932 Pd
```

In order of appearance, total moment = 0.000, 0.000 Bohr magnetons per cell.
In order of appearance, offset from the most stable computed form = 0.000, 0.000 eV/atom.